(1)
This record from the Alexandria database describes La4TlSn2 after structural relaxation. The functional is PBE.

V, A^3/atom: 40.62
Energy of formation, eV per atom: -0.120
ΔE to the lowest computed polymorph, eV per formula unit: 2.823

a = 9.3682 Å, b = 9.3682 Å, c = 9.3682 Å
α = 143.86°, β = 143.86°, γ = 52.04°
Closest atoms and distances in Å follow each position.
Fractional positions:
La1 0.0000 0.5000 0.5000  2 Tl 2.91
La2 0.1868 0.1868 0.0000  1 Tl 3.15, 1 Sn 3.20
La3 0.5000 0.0000 0.5000  2 Tl 2.91
La4 0.8132 0.8132 0.0000  1 Tl 3.15, 1 Sn 3.20
Tl1 0.0000 0.0000 0.0000  6 La 2.91-3.15
Sn1 0.3767 0.3767 0.0000  5 La 3.20-3.57
Sn2 0.6233 0.6233 0.0000  5 La 3.20-3.57



(2)
This record from the Alexandria database describes Na3LaI6 after structural relaxation. The functional is PBE.

V, A^3/atom: 40.63
Formation energy (no corrections), eV per atom: -1.3336
ΔE to the lowest computed polymorph, eV per formula unit: 0.054

a = 7.9297 Å, b = 8.4962 Å, c = 14.3683 Å
α = 90.00°, β = 122.92°, γ = 90.00°
Closest atoms and distances in Å follow each position.
Fractional positions:
Na1 0.0000 0.0000 0.0000  6 I 3.16-3.39
Na2 0.0000 0.5000 0.5000  6 I 3.16-3.39
Na3 0.2013 0.0941 0.7392  5 I 3.26-3.55
Na4 0.2013 0.4059 0.2392  5 I 3.26-3.55
Na5 0.7987 0.5941 0.7608  5 I 3.26-3.55
Na6 0.7987 0.9059 0.2608  5 I 3.26-3.55
La1 0.5000 0.0000 0.5000  6 I 3.15-3.20
La2 0.5000 0.5000 0.0000  6 I 3.15-3.20
I1 0.0991 0.1815 0.4261  1 La 3.15, 2 Na 3.16-3.26
I2 0.0991 0.3185 0.9261  1 La 3.15, 2 Na 3.16-3.26
I3 0.2465 0.6830 0.4176  1 La 3.18, 3 Na 3.19-3.55
I4 0.2465 0.8170 0.9176  1 La 3.18, 3 Na 3.19-3.55
I5 0.4093 0.0660 0.2576  1 La 3.20, 3 Na 3.26-3.39
I6 0.4093 0.4340 0.7576  1 La 3.20, 3 Na 3.26-3.39
I7 0.5907 0.5660 0.2424  1 La 3.20, 3 Na 3.26-3.39
I8 0.5907 0.9340 0.7424  1 La 3.20, 3 Na 3.26-3.39
I9 0.7535 0.1830 0.0824  1 La 3.18, 3 Na 3.19-3.55
I10 0.7535 0.3170 0.5824  1 La 3.18, 3 Na 3.19-3.55
I11 0.9009 0.6815 0.0739  1 La 3.15, 2 Na 3.16-3.26
I12 0.9009 0.8185 0.5739  1 La 3.15, 2 Na 3.16-3.26



(3)
This record from the Alexandria database describes LaYHoCd after structural relaxation. The functional is PBE.

V, A^3/atom: 30.41
Energy of formation, eV per atom: -0.145
ΔE to the lowest computed polymorph, eV per formula unit: 0.000

a = 3.6902 Å, b = 3.6902 Å, c = 8.9340 Å
α = 90.00°, β = 90.00°, γ = 90.00°
Closest atoms and distances in Å follow each position.
Fractional positions:
La1 0.0000 0.0000 0.0000  4 Ho 3.63, 4 Y 3.67, 4 La 3.69
Y1 0.5000 0.5000 0.7112  4 Cd 3.25
Ho1 0.5000 0.5000 0.2826  4 Cd 3.23
Cd1 0.0000 0.0000 0.4948  4 Ho 3.23, 4 Y 3.25



(4)
This record from the Alexandria database describes Rb2Na2NiH4 after structural relaxation. The functional is PBE.

Uncorrected energy, eV per cell: -23.68
V, A^3/atom: 22.67

a = 6.4510 Å, b = 6.4510 Å, c = 6.4510 Å
α = 113.37°, β = 113.37°, γ = 101.93°
Closest atoms and distances in Å follow each position.
Fractional positions:
Rb1 0.2500 0.7500 0.5000  8 H 3.36, 4 Na 3.58
Rb2 0.7500 0.2500 0.5000  8 H 3.36, 4 Na 3.58
Na1 0.1836 0.1836 0.0000  1 Ni 2.57
Na2 0.8164 0.8164 0.0000  1 Ni 2.57
Ni1 0.5000 0.5000 0.0000  4 H 1.55
H1 0.3452 0.3452 0.6903  1 Ni 1.55
H2 0.3452 0.6548 0.0000  1 Ni 1.55
H3 0.6548 0.3452 0.0000  1 Ni 1.55
H4 0.6548 0.6548 0.3097  1 Ni 1.55